# 1
Material: KHgGeIr
Method: DFT, PBE
State: relaxed

Geometry as extended XYZ:
```
8
Lattice="4.242 0.000 0.000 0.000 4.242 0.000 0.000 0.000 12.175" Properties=species:S:1:pos:R:3 pbc="T T T"
Hg 3.182 1.061 6.087
Hg 1.061 3.182 6.087
K 3.182 3.182 2.961
K 1.061 1.061 9.213
Ir 3.182 1.061 0.000
Ir 1.061 3.182 0.000
Ge 3.182 3.182 10.895
Ge 1.061 1.061 1.280
```

## Properties
Total energy (eV/cell): -31.851
ΔH_f (0 K) (kcal/mol of atoms): -6.04
SG: P4/nmm (129)


# 2
Material: Ge2RuAu
Method: DFT, PBE
State: relaxed

Geometry as extended XYZ:
```
4
Lattice="-0.637 -2.213 -1.998 -1.525 -2.480 0.906 -8.245 2.353 -2.305" Properties=species:S:1:pos:R:3 pbc="T T T"
Ru -5.203 -1.170 -1.699
Ge -6.063 1.217 -1.743
Ge -4.343 -3.557 -1.655
Au 0.000 0.000 0.000
```

## Properties
Total energy (eV/cell): -22.268
ΔH_f (0 K) (kcal/mol of atoms): -2.77
SG: R-3m (166)
Distance to the lowest polymorph of the same formula (kJ/mol of formula units): 0.0


# 3
Material: AlIn3
Method: DFT, PBE
State: relaxed

Geometry as extended XYZ:
```
4
Lattice="-2.178 5.046 -1.700 -1.627 -1.358 5.349 2.593 1.515 1.174" Properties=species:S:1:pos:R:3 pbc="T T T"
In -1.903 1.844 1.824
In 0.483 0.078 3.261
In 0.207 3.281 -0.263
Al 0.000 0.000 0.000
```

## Properties
Total energy (eV/cell): -11.410
ΔH_f (0 K) (kcal/mol of atoms): 3.16
SG: Cmmm (65)


# 4
Material: RbAlPt3
Method: DFT, PBE
State: relaxed

Geometry as extended XYZ:
```
5
Lattice="4.784 0.000 0.000 0.000 4.784 0.000 0.000 0.000 4.784" Properties=species:S:1:pos:R:3 pbc="T T T"
Rb 2.392 2.392 2.392
Pt 2.392 0.000 0.000
Pt 0.000 0.000 2.392
Pt 0.000 2.392 0.000
Al 0.000 0.000 0.000
```

## Properties
Total energy (eV/cell): -22.156
ΔH_f (0 K) (kcal/mol of atoms): 3.12
SG: Pm-3m (221)
Distance to the lowest polymorph of the same formula (kJ/mol of formula units): 0.0


# 5
Material: Ac4Si3Ge
Method: DFT, PBE
State: relaxed

Geometry as extended XYZ:
```
8
Lattice="4.758 0.000 0.000 0.000 4.155 0.000 0.000 0.000 11.686" Properties=species:S:1:pos:R:3 pbc="T T T"
Ac 2.379 2.078 4.219
Ac 2.379 0.000 7.489
Ac 0.000 0.000 1.660
Ac 0.000 2.078 10.016
Si 0.000 2.078 6.600
Si 0.000 0.000 5.090
Si 2.379 0.000 10.869
Ge 2.379 2.078 0.802
```

## Properties
Total energy (eV/cell): -42.128
SG: Pmm2 (25)
E_form (uncorrected) (eV per atom): -0.6009


# 6
Material: La3YHg6
Method: DFT, PBE
State: relaxed

Geometry as extended XYZ:
```
20
Lattice="-2.824 -2.219 3.865 -7.266 -1.429 -6.129 6.668 -9.286 -0.458" Properties=species:S:1:pos:R:3 pbc="T T T"
La -5.352 -4.654 -1.181
La -1.872 -4.822 -2.335
La -1.549 -8.112 -0.387
La -3.677 -2.095 1.512
La 1.930 -8.280 -1.542
La 0.255 -10.839 -4.235
Y 0.149 -5.486 2.361
Y -3.571 -7.447 -5.084
Hg 4.728 -8.800 0.204
Hg 0.854 -5.406 -0.678
Hg -2.446 -4.968 0.763
Hg -2.865 -10.499 -2.719
Hg 0.158 -10.965 -0.778
Hg -4.276 -7.528 -2.044
Hg -3.579 -1.969 -1.945
Hg -0.976 -7.966 -3.485
Hg -8.150 -4.134 -2.927
Hg 1.499 -8.308 1.728
Hg -4.920 -4.626 -4.451
Hg -0.557 -2.434 -0.004
```

## Properties
Total energy (eV/cell): -55.264
ΔH_f (0 K) (kcal/mol of atoms): -10.55
SG: P2_1/m (11)


# 7
Material: Ho5Al2Zn
Method: DFT, PBE
State: relaxed

Geometry as extended XYZ:
```
16
Lattice="-1.004 -4.119 0.683 4.620 0.512 -3.623 10.447 -0.344 13.273" Properties=species:S:1:pos:R:3 pbc="T T T"
Ho 12.580 -3.764 9.282
Ho 6.330 -1.483 0.355
Ho 6.528 -2.744 6.544
Ho 3.284 -1.068 -1.612
Ho 7.535 -1.207 3.790
Ho 7.734 -2.468 9.978
Ho 9.518 -3.663 5.391
Ho 4.546 -0.288 4.942
Ho 10.780 -2.884 11.945
Ho 1.484 -0.187 1.052
Zn 9.986 -3.314 8.183
Zn 4.078 -0.637 2.150
Al 10.733 -1.044 9.472
Al 8.967 -0.986 7.228
Al 5.097 -2.965 3.106
Al 3.331 -2.907 0.862
```

## Properties
Total energy (eV/cell): -66.661
ΔH_f (0 K) (kcal/mol of atoms): -4.85
SG: Cmcm (63)


# 8
Material: V6RuW2
Method: DFT, PBE
State: relaxed

Geometry as extended XYZ:
```
9
Lattice="2.673 -0.216 0.062 -1.523 2.643 -0.122 0.393 -0.667 18.944" Properties=species:S:1:pos:R:3 pbc="T T T"
V -0.006 2.143 8.374
V 0.882 0.600 2.048
V 0.082 1.990 3.993
V 1.353 -0.202 16.897
V 0.629 1.052 14.830
V 0.714 0.897 10.449
W 0.801 0.744 6.246
W 1.432 -0.346 12.699
Ru 0.553 1.187 18.884
```

## Properties
Total energy (eV/cell): -90.609
ΔH_f (0 K) (kcal/mol of atoms): -1.83
SG: P-1 (2)
Distance to the lowest polymorph of the same formula (kJ/mol of formula units): 0.0